(1)
Entry from the Alexandria database: a relaxed Rb2ReHI6 crystal (PBE).

Properties
calculated density	4751	kg/m³
calculated total energy	-3.127	eV/atom

Cell: 8.8979 8.8979 9.8840 Å, 90.00 90.00 90.00°
Last column: nearest neighbours and their distance in Å.
Space group I4/mmm (No. 139)
Symmetry-distinct sites (fractional):
Rb 0.0000 0.5000 0.2500 [4 per cell]  12 I 4.02-4.48
Re 0.0000 0.0000 0.0000 [2 per cell]  6 I 2.72-2.98
H 0.0000 0.0000 0.5000 [2 per cell]  2 I 1.97
I 0.0000 0.0000 0.3012 [4 per cell]  1 H 1.97
I 0.2165 0.2165 0.0000 [8 per cell]  1 Re 2.72


(2)
Entry from the Alexandria database: a relaxed Rb2HRhI6 crystal (PBE).

Properties
calculated density	4603	kg/m³
calculated total energy	-2.778	eV/atom

Cell: 8.8649 8.8649 9.5132 Å, 90.00 90.00 90.00°
Last column: nearest neighbours and their distance in Å.
Space group I4/mmm (No. 139)
Symmetry-distinct sites (fractional):
Rb 0.0000 0.5000 0.2500 [4 per cell]  8 I 3.96
H 0.0000 0.0000 0.0000 [2 per cell]  2 I 1.90
Rh 0.0000 0.0000 0.5000 [2 per cell]  6 I 2.68-2.86
I 0.0000 0.0000 0.1992 [4 per cell]  1 H 1.90
I 0.2141 0.2141 0.5000 [8 per cell]  1 Rh 2.68


(3)
Entry from the Alexandria database: a relaxed Rb2HSI6 crystal (PBE).

Properties
calculated density	4396	kg/m³
calculated total energy	-2.211	eV/atom

Cell: 7.6566 7.6566 12.4422 Å, 90.00 90.00 90.00°
Last column: nearest neighbours and their distance in Å.
Space group I4/mmm (No. 139)
Symmetry-distinct sites (fractional):
Rb 0.0000 0.5000 0.2500 [4 per cell]  12 I 3.85-4.13
H 0.0000 0.0000 0.0000 [2 per cell]  4 I 2.56
S 0.0000 0.0000 0.5000 [2 per cell]  6 I 2.74-2.86
I 0.0000 0.0000 0.2800 [4 per cell]  1 S 2.74
I 0.2361 0.2361 0.0000 [8 per cell]  1 H 2.56, 1 S 2.86


(4)
Entry from the Alexandria database: a relaxed Rb2HSI crystal (PBE).

Properties
calculated density	2926	kg/m³
calculated total energy	-3.259	eV/atom

Cell: 7.3075 5.2050 9.9613 Å, 90.00 97.52 90.00°
Last column: nearest neighbours and their distance in Å.
Space group P2_1/m (No. 11)
Symmetry-distinct sites (fractional):
Rb 0.2205 0.2500 0.3580 [2 per cell]  2 H 3.14, 2 S 3.51
Rb 0.2584 0.2500 0.9019 [2 per cell]  1 H 3.19, 3 S 3.43-3.57
H 0.3670 0.7500 0.2305 [2 per cell]  1 S 1.35
S 0.2336 0.7500 0.1228 [2 per cell]  1 H 1.35
I 0.2762 0.7500 0.6326 [2 per cell]  6 Rb 3.64-3.76, 2 H 3.81


(5)
Entry from the Alexandria database: a relaxed RbSbHI2 crystal (PBE).

Properties
calculated density	5023	kg/m³
distance to the lowest polymorph of the same formula	0	meV/atom

Cell: 6.1403 6.1403 4.0512 Å, 90.00 90.00 90.00°
Last column: nearest neighbours and their distance in Å.
Space group P4/mmm (No. 123)
Symmetry-distinct sites (fractional):
Rb 0.0000 0.0000 0.0000 [1 per cell]  8 I 3.68, 2 Rb 4.05
Sb 0.5000 0.5000 0.0000 [1 per cell]  2 H 2.03
H 0.5000 0.5000 0.5000 [1 per cell]  2 Sb 2.03
I 0.0000 0.5000 0.5000 [2 per cell]  2 H 3.07


(6)
Entry from the Alexandria database: a relaxed RbSbHI2 crystal (PBE).

Properties
calculated density	1965	kg/m³
distance to the lowest polymorph of the same formula	897	meV/atom

Cell: 7.0268 7.0268 7.9081 Å, 90.00 90.00 90.00°
Last column: nearest neighbours and their distance in Å.
Space group P4/mmm (No. 123)
Symmetry-distinct sites (fractional):
Rb 0.0000 0.0000 0.0000 [1 per cell]  4 I 3.51
Sb 0.0000 0.0000 0.5000 [1 per cell]  2 Rb 3.95
H 0.5000 0.5000 0.5000 [1 per cell]  4 Sb 4.97, 8 I 5.29
I 0.0000 0.5000 0.0000 [2 per cell]  2 Rb 3.51


(7)
Entry from the Alexandria database: a relaxed Rb2ScHI6 crystal (PBE).

Properties
calculated density	4152	kg/m³
calculated total energy	-2.942	eV/atom

Cell: 7.8236 7.8236 12.7843 Å, 90.00 90.00 90.00°
Last column: nearest neighbours and their distance in Å.
Space group I4/mmm (No. 139)
Symmetry-distinct sites (fractional):
Rb 0.0000 0.5000 0.2500 [4 per cell]  12 I 3.92-4.23
Sc 0.0000 0.0000 0.0000 [2 per cell]  6 I 2.88-2.92
H 0.0000 0.0000 0.5000 [2 per cell]  4 I 2.62
I 0.0000 0.0000 0.2250 [4 per cell]  1 Sc 2.88
I 0.2365 0.2365 0.5000 [8 per cell]  1 H 2.62, 1 Sc 2.92


(8)
Entry from the Alexandria database: a relaxed RbSi2HI crystal (PBE).

Properties
calculated density	1292	kg/m³
calculated total energy	-1.618	eV/atom

Cell: 7.1273 7.1273 6.8211 Å, 90.00 90.00 90.00°
Last column: nearest neighbours and their distance in Å.
Space group P4/mmm (No. 123)
Symmetry-distinct sites (fractional):
Rb 0.0000 0.0000 0.0000 [1 per cell]  2 I 3.41, 4 Si 3.56
Si 0.0000 0.5000 0.0000 [2 per cell]  2 Rb 3.56
H 0.5000 0.5000 0.5000 [1 per cell]  8 Si 4.93, 4 I 5.04
I 0.0000 0.0000 0.5000 [1 per cell]  2 Rb 3.41